AcTmIr | PBE-GGA | optimized geometry

Calculated values
Space-group type ... I4/mmm
Energy relative to the elements ... -393 meV/atom
Total DFT energy (no corrections) ... -6.207 eV/atom
Crystal system ... tetragonal
Excess energy over the best structure of this formula in the dataset ... 0.223 eV/atom

a b c (Å): 3.976 3.976 12.800
angles (deg): 98.93 98.93 90.00
Element x y z (fractional)
1 Ac 0.580 0.580 0.159
2 Ac 0.420 0.420 0.841
3 Ir 0.689 0.689 0.377
4 Ir 0.311 0.311 0.623
5 Tm 0.197 0.197 0.395
6 Tm 0.803 0.803 0.605

AcUIr2 | PBE-GGA | optimized geometry

Calculated values
Space-group type ... P4/mmm
Energy relative to the elements ... -456 meV/atom
Total DFT energy (no corrections) ... -8.735 eV/atom
Crystal system ... tetragonal
Excess energy over the best structure of this formula in the dataset ... 0.072 eV/atom

a b c (Å): 3.493 3.493 7.481
angles (deg): 90.00 90.00 90.00
Last column: magnetic moment on the atom in μB.
Element x y z (fractional)
1 U 0.500 0.500 0.000  1.27
2 Ir 0.000 0.000 0.802  -0.11
3 Ir 0.000 0.000 0.198  -0.11
4 Ac 0.500 0.500 0.500  0.05

AcUIr2 | PBE-GGA | optimized geometry

Calculated values
Space-group type ... R-3m
Energy relative to the elements ... -528 meV/atom
Total DFT energy (no corrections) ... -8.808 eV/atom
Crystal system ... trigonal
Excess energy over the best structure of this formula in the dataset ... 0.000 eV/atom

a b c (Å): 4.070 4.070 7.292
angles (deg): 73.79 73.79 60.00
Last column: magnetic moment on the atom in μB.
Element x y z (fractional)
1 U 0.000 0.000 0.000  0.48
2 Ir 0.736 0.736 0.793  -0.04
3 Ir 0.264 0.264 0.207  -0.04
4 Ac 0.500 0.500 0.500  0.00

AcUIr2 | PBE-GGA | optimized geometry

Calculated values
Space-group type ... Pmmn
Energy relative to the elements ... -514 meV/atom
Total DFT energy (no corrections) ... -8.794 eV/atom
Crystal system ... orthorhombic
Excess energy over the best structure of this formula in the dataset ... 0.014 eV/atom

a b c (Å): 4.491 6.161 7.193
angles (deg): 90.00 90.00 90.00
Last column: magnetic moment on the atom in μB.
Element x y z (fractional)
1 Ac 0.500 0.854 0.000  0.02
2 Ac 0.000 0.146 0.500  0.02
3 U 0.000 0.359 0.000  1.34
4 U 0.500 0.641 0.500  1.34
5 Ir 0.500 0.343 0.792  -0.11
6 Ir 0.500 0.343 0.208  -0.11
7 Ir 0.000 0.657 0.708  -0.11
8 Ir 0.000 0.657 0.292  -0.11

AcU2Ir9 | PBE-GGA | optimized geometry

Calculated values
Space-group type ... R-3m
Energy relative to the elements ... -429 meV/atom
Total DFT energy (no corrections) ... -9.298 eV/atom
Crystal system ... trigonal

a b c (Å): 5.352 5.352 9.309
angles (deg): 73.29 73.29 60.00
Last column: magnetic moment on the atom in μB.
Element x y z (fractional)
1 Ir 0.500 0.500 0.500  -0.12
2 Ir 0.587 0.081 0.746  -0.09
3 Ir 0.667 0.667 0.000  -0.07
4 Ir 0.413 0.413 0.254  -0.09
5 Ir 0.587 0.587 0.746  -0.09
6 Ir 0.919 0.413 0.254  -0.09
7 Ir 0.333 0.333 0.000  -0.07
8 Ir 0.413 0.919 0.254  -0.09
9 Ir 0.081 0.587 0.746  -0.09
10 U 0.859 0.859 0.422  1.71
11 U 0.141 0.141 0.578  1.71
12 Ac 0.000 0.000 0.000  0.03

Ac12UIr7 | PBE-GGA | optimized geometry

Calculated values
Space-group type ... R-3
Energy relative to the elements ... -530 meV/atom
Total DFT energy (no corrections) ... -6.661 eV/atom
Crystal system ... trigonal

a b c (Å): 9.524 9.524 9.524
angles (deg): 107.20 107.20 107.20
Last column: magnetic moment on the atom in μB.
Element x y z (fractional)
1 Ac 0.370 0.447 0.155  0.00
2 Ac 0.630 0.553 0.845  0.00
3 Ac 0.553 0.845 0.630  0.00
4 Ac 0.782 0.926 0.317  0.01
5 Ac 0.447 0.155 0.370  0.00
6 Ac 0.218 0.074 0.683  0.01
7 Ac 0.317 0.782 0.926  0.01
8 Ac 0.683 0.218 0.074  0.01
9 Ac 0.074 0.683 0.218  0.01
10 Ac 0.926 0.317 0.782  0.01
11 Ac 0.155 0.370 0.447  0.00
12 Ac 0.845 0.630 0.553  0.00
13 Ir 0.893 0.976 0.675  -0.04
14 Ir 0.500 0.500 0.500  0.00
15 Ir 0.675 0.893 0.976  -0.04
16 Ir 0.107 0.024 0.325  -0.04
17 Ir 0.024 0.325 0.107  -0.04
18 Ir 0.325 0.107 0.024  -0.04
19 Ir 0.976 0.675 0.893  -0.04
20 U 0.000 0.000 0.000  1.25

AcVIr2 | PBE-GGA | optimized geometry

Calculated values
Space-group type ... R-3m
Energy relative to the elements ... -397 meV/atom
Total DFT energy (no corrections) ... -8.135 eV/atom
Crystal system ... trigonal

a b c (Å): 4.245 4.245 6.095
angles (deg): 69.62 69.62 60.00
Element x y z (fractional)
1 Ac 0.500 0.500 0.500
2 Ir 0.294 0.294 0.118
3 Ir 0.706 0.706 0.882
4 V 0.000 0.000 0.000

AcV2Ir | PBE-GGA | optimized geometry

Calculated values
Space-group type ... R-3m
Energy relative to the elements ... 15 meV/atom
Total DFT energy (no corrections) ... -7.787 eV/atom
Crystal system ... trigonal

a b c (Å): 4.250 4.250 6.260
angles (deg): 70.16 70.16 60.00
Last column: magnetic moment on the atom in μB.
Element x y z (fractional)
1 V 0.197 0.197 0.408  -0.43
2 V 0.803 0.803 0.592  -0.43
3 Ac 0.000 0.000 0.000  -0.03
4 Ir 0.500 0.500 0.500  -0.02

Question: What is the energy relative to the elements in the fifth record?
Answer: -429 meV/atom